Record 1
InNiRu2 after structural relaxation, computed with GGA-PBE.

Output
Energy: -6.658 eV per atom
ΔH_f (0 K): 0.110 eV/atom
DOS at the Fermi energy: 1.158 states/eV per atom
Mass density: 10.55 Mg/m³

a = 2.856 Å, b = 2.856 Å, c = 7.254 Å
α = 90.00°, β = 90.00°, γ = 90.02°
Atoms (fractional coordinates):
In 0.000 0.000 0.512
Ni 0.500 0.500 0.766
Ru 0.000 0.000 0.997
Ru 0.500 0.500 0.225

Record 2
In2Ni2Ru after structural relaxation, computed with GGA-PBE.

Output
Energy: -5.123 eV per atom
ΔH_f (0 K): 0.141 eV/atom
DOS at the Fermi energy: 0.877 states/eV per atom
Mass density: 9.50 Mg/m³

a = 6.708 Å, b = 6.708 Å, c = 3.483 Å
α = 90.00°, β = 90.00°, γ = 90.00°
Atoms (fractional coordinates):
Ru 0.000 0.000 0.000
Ru 0.500 0.500 0.000
Ni 0.376 0.876 0.000
Ni 0.876 0.624 0.000
Ni 0.624 0.124 0.000
Ni 0.124 0.376 0.000
In 0.177 0.677 0.500
In 0.677 0.823 0.500
In 0.823 0.323 0.500
In 0.323 0.177 0.500

Record 3
InNiRu after structural relaxation, computed with GGA-PBE.

Output
Energy: -5.786 eV per atom
ΔH_f (0 K): 0.146 eV/atom
DOS at the Fermi energy: 1.164 states/eV per atom
Mass density: 10.08 Mg/m³

a = 5.549 Å, b = 5.549 Å, c = 2.967 Å
α = 74.49°, β = 74.50°, γ = 31.01°
Atoms (fractional coordinates):
In 0.994 0.994 0.006
Ni 0.322 0.322 0.678
Ru 0.683 0.683 0.317

What did the third record say?
InNiRu after structural relaxation, computed with GGA-PBE.

Output
Energy: -5.786 eV per atom
ΔH_f (0 K): 0.146 eV/atom
DOS at the Fermi energy: 1.164 states/eV per atom
Mass density: 10.08 Mg/m³

a = 5.549 Å, b = 5.549 Å, c = 2.967 Å
α = 74.49°, β = 74.50°, γ = 31.01°
Atoms (fractional coordinates):
In 0.994 0.994 0.006
Ni 0.322 0.322 0.678
Ru 0.683 0.683 0.317

Question: Which of these has the highest DOS at the Fermi energy?
Answer: InNiRu

Question: Which value of mass density does entry 3 give?
Answer: 10.08 Mg/m³